Here is a geometry-optimized SrFe4Te structure from Alexandria. Energies are from PBE.

```
6
Lattice="0.0000 3.7213 3.7213 3.7213 0.0000 3.7213 3.7213 3.7213 0.0000" Properties=species:S:1:pos:R:3 pbc="T T T"
Sr 0.0000 0.0000 0.0000
Fe 2.7698 2.7698 2.7698
Fe 4.6727 4.6727 2.7698
Fe 4.6727 2.7698 4.6727
Fe 2.7698 4.6727 4.6727
Te 5.5819 5.5819 5.5819
```

Properties
Symmetry: F-43m, No. 216
Magnetization, μB per formula unit: 10.25
ΔE_f (raw), meV/atom: 330
DFT total energy, eV/atom: -6.1158